The following is a DFT calculation (PBE+U) of MnHF2 after structural relaxation.

The structure belongs to space group Cmcm (No. 63); the cell edges are 3.420, 19.140 and 4.084 Å and the angles 90.00°, 90.00° and 90.00°. The inequivalent atoms are Mn at (0.000, 0.186, 0.250), H at (0.000, 0.061, 0.750), F at (0.000, 0.227, 0.750) and F at (0.000, 0.371, 0.750).

As for the theoretical density: 2334 kg/m3. Its total energy is -5.014 eV per atom. Its distance to the lowest polymorph of the same formula is 23 meV per atom.